The following is a DFT calculation (PBE) of KCr2Fe after structural relaxation.

Unit cell a=6.1428 b=8.9532 c=2.8241 alpha=90.00 beta=90.00 gamma=90.00
Last column: nearest neighbours and their distance in Å.
Space group Cmmm (No. 65)
Unique sites:
K (0.0000, 0.0000, 0.0000) x2  2 K 2.82, 8 Cr 3.06, 2 Fe 3.07
Cr (0.2500, 0.2500, 0.5000) x4  4 Cr 2.82-3.07, 4 Fe 3.06, 4 K 3.06
Fe (0.0000, 0.5000, 0.0000) x2  2 Fe 2.82, 8 Cr 3.06, 2 K 3.07

Output
**Energy above the most stable polymorph in this dataset**: 802.0 meV per atom
**Volume**: 155 Å³/cell
**Formation energy from the elements**: 1.58 eV per atom

---

The following is a DFT calculation (PBE) of Rb2GaBF6 after structural relaxation.

Unit cell a=6.0329 b=6.0329 c=8.5640 alpha=90.00 beta=90.00 gamma=90.00
Last column: nearest neighbours and their distance in Å.
Space group I4/mmm (No. 139)
Unique sites:
Rb (0.0000, 0.5000, 0.2500) x4  12 F 3.02-3.03
Ga (0.0000, 0.0000, 0.0000) x2  6 F 1.94
B (0.0000, 0.0000, 0.5000) x2  6 F 2.32-2.34
F (0.0000, 0.0000, 0.2265) x4  1 Ga 1.94
F (0.2276, 0.2276, 0.0000) x8  1 Ga 1.94

Output
**Volume**: 312 Å³/cell

---

The following is a DFT calculation (PBE) of Tb2HgBi after structural relaxation.

Unit cell a=4.2632 b=4.2632 c=23.6771 alpha=90.00 beta=90.00 gamma=120.00
Last column: nearest neighbours and their distance in Å.
Space group R3m (No. 160, hexagonal axes)
Unique sites:
Tb (0.0000, 0.0000, 0.0000) x3  3 Bi 3.13, 3 Hg 3.20
Tb (0.0000, 0.0000, 0.1707) x3  3 Bi 3.12, 3 Hg 3.17
Hg (0.0000, 0.0000, 0.7532) x3  6 Tb 3.17-3.20
Bi (0.0000, 0.0000, 0.5848) x3  6 Tb 3.12-3.13

Output
**Energy above the most stable polymorph in this dataset**: 133.7 meV per atom
**Volume**: 373 Å³/cell
**Formation energy from the elements**: -0.48 eV per atom

---

The following is a DFT calculation (PBE) of NaYPtPb after structural relaxation.

Unit cell a=7.0028 b=7.0028 c=7.0028 alpha=90.00 beta=90.00 gamma=90.00
Last column: nearest neighbours and their distance in Å.
Space group F-43m (No. 216)
Unique sites:
Na (0.0000, 0.0000, 0.0000) x4  4 Pb 3.03, 4 Y 3.03
Y (0.2500, 0.2500, 0.2500) x4  4 Na 3.03, 4 Pt 3.03
Pt (0.0000, 0.0000, 0.5000) x4  4 Pb 3.03, 4 Y 3.03
Pb (0.2500, 0.2500, 0.7500) x4  4 Na 3.03, 4 Pt 3.03

Output
**Volume**: 343 Å³/cell
**Formation energy from the elements**: -0.55 eV per atom

---

The following is a DFT calculation (PBE) of LaTe after structural relaxation.

Unit cell a=4.1963 b=4.9554 c=12.9270 alpha=90.00 beta=90.00 gamma=90.00
Last column: nearest neighbours and their distance in Å.
Space group Imma (No. 74)
Unique sites:
La (0.0000, 0.2500, 0.1102) x4  6 Te 3.25-3.59
Te (0.0000, 0.2500, 0.6147) x4  6 La 3.25-3.59

Output
**Volume**: 269 Å³/cell

---

The following is a DFT calculation (PBE) of Rh2C after structural relaxation.

Unit cell a=3.1254 b=12.1070 c=4.0704 alpha=90.00 beta=90.00 gamma=90.00
Last column: nearest neighbours and their distance in Å.
Space group Cmcm (No. 63)
Unique sites:
Rh (0.0000, 0.0643, 0.2500) x4  2 C 1.97
Rh (0.0000, 0.2952, 0.2500) x4  4 C 2.10-2.23
C (0.0000, 0.3367, 0.7500) x4  4 Rh 1.97-2.10

Output
**Energy above the most stable polymorph in this dataset**: 197.5 meV per atom
**Volume**: 154 Å³/cell
**Formation energy from the elements**: 0.39 eV per atom

---

The following is a DFT calculation (PBE) of Pr6DyEr3 after structural relaxation.

Unit cell a=10.9497 b=19.4613 c=6.4331 alpha=90.00 beta=90.00 gamma=90.00
Last column: nearest neighbours and their distance in Å.
Space group Cmc2_1 (No. 36)
Unique sites:
Pr (0.0000, 0.0331, 0.0000) x4  1 Dy 3.40, 4 Pr 3.47-3.75, 4 Er 3.47-3.60
Pr (0.0000, 0.2824, 0.2235) x4  4 Pr 3.16-3.53, 1 Dy 3.36, 1 Er 3.41
Pr (0.1717, 0.4576, 0.3350) x8  4 Er 3.54-3.78, 6 Pr 3.57-3.96
Pr (0.2261, 0.2886, 0.5293) x8  2 Pr 3.16-3.53, 2 Er 3.30-3.52, 2 Dy 3.43-3.50
Dy (0.0000, 0.1917, 0.7785) x4  2 Er 3.34, 6 Pr 3.36-3.50
Er (0.0000, 0.3863, 0.7975) x4  7 Pr 3.41-3.78, 2 Er 3.71, 1 Dy 3.79
Er (0.1680, 0.1151, 0.4115) x8  6 Pr 3.30-3.60, 1 Dy 3.34, 1 Er 3.68

Output
**Volume**: 1371 Å³/cell
**Formation energy from the elements**: 0.14 eV per atom

---

The following is a DFT calculation (PBE) of AlZn2Cu5 after structural relaxation.

Unit cell a=3.7226 b=3.7226 c=14.7321 alpha=90.00 beta=90.00 gamma=90.00
Last column: nearest neighbours and their distance in Å.
Space group I4/mmm (No. 139)
Unique sites:
Al (0.0000, 0.0000, 0.0000) x2  12 Cu 2.60-2.63
Zn (0.0000, 0.0000, 0.2513) x4  8 Cu 2.62-2.65, 4 Zn 2.63
Cu (0.0000, 0.0000, 0.5000) x2  8 Cu 2.60, 4 Al 2.63
Cu (0.0000, 0.5000, 0.1232) x8  2 Al 2.60, 6 Cu 2.60-2.63, 4 Zn 2.62-2.65

Output
**Energy above the most stable polymorph in this dataset**: 0.0 meV per atom
**Volume**: 204 Å³/cell
**Formation energy from the elements**: -0.14 eV per atom

---

The following is a DFT calculation (PBE) of LaPuI4 after structural relaxation.

Unit cell a=20.1850 b=4.3505 c=15.1609 alpha=90.00 beta=127.77 gamma=90.00
Last column: nearest neighbours and their distance in Å.
Space group C2/c (No. 15)
Unique sites:
La (0.0000, 0.0012, 0.2500) x4  6 I 3.23-3.25
Pu (0.0000, 0.5000, 0.0000) x4  6 I 3.18-3.20
I (0.1233, 0.0000, 0.1818) x8  2 Pu 3.18, 1 La 3.23
I (0.1270, 0.4987, 0.9401) x8  1 Pu 3.20, 2 La 3.25

Output
**Energy above the most stable polymorph in this dataset**: 0.0 meV per atom
**Volume**: 1052 Å³/cell

---

The following is a DFT calculation (PBE) of Zr2ZnSbF after structural relaxation.

Unit cell a=5.4520 b=5.4520 c=4.8876 alpha=90.00 beta=90.00 gamma=90.00
Last column: nearest neighbours and their distance in Å.
Space group P4/mmm (No. 123)
Unique sites:
Zr (0.0000, 0.5000, 0.0000) x2  2 Sb 2.73
Zn (0.0000, 0.0000, 0.5000) x1  2 Sb 2.44
Sb (0.0000, 0.0000, 0.0000) x1  2 Zn 2.44, 4 Zr 2.73
F (0.5000, 0.5000, 0.5000) x1  8 Zr 3.66, 4 Zn 3.86

Output
**Volume**: 145 Å³/cell

---

The following is a DFT calculation (PBE) of Th5Se6 after structural relaxation.

Unit cell a=7.2108 b=12.5107 c=7.2089 alpha=90.00 beta=109.59 gamma=90.00
Last column: nearest neighbours and their distance in Å.
Space group C2/m (No. 12)
Unique sites:
Th (0.0000, 0.0000, 0.0000) x2  6 Se 2.95-3.06
Th (0.0000, 0.1663, 0.5000) x4  6 Se 2.95-2.96
Th (0.0000, 0.3291, 0.0000) x4  6 Se 2.95-3.06
Se (0.2364, 0.3419, 0.7365) x8  5 Th 2.95-3.06
Se (0.2375, 0.5000, 0.2567) x4  5 Th 2.96-3.06

Output
**Volume**: 613 Å³/cell

---

The following is a DFT calculation (PBE) of SrOsSeBr2 after structural relaxation.

Unit cell a=5.7171 b=5.7171 c=6.0958 alpha=90.00 beta=90.00 gamma=90.00
Last column: nearest neighbours and their distance in Å.
Space group P4/mmm (No. 123)
Unique sites:
Sr (0.0000, 0.0000, 0.0000) x1  4 Br 2.86, 2 Se 3.05
Os (0.5000, 0.5000, 0.5000) x1  4 Se 4.04, 8 Br 4.18
Se (0.0000, 0.0000, 0.5000) x1  2 Sr 3.05
Br (0.0000, 0.5000, 0.0000) x2  2 Sr 2.86

Output
**Energy above the most stable polymorph in this dataset**: 1082.1 meV per atom
**Volume**: 199 Å³/cell

---

The following is a DFT calculation (PBE) of UMn10Co3 after structural relaxation.

Unit cell a=11.3601 b=11.3601 c=11.3601 alpha=90.00 beta=90.00 gamma=90.00
Last column: nearest neighbours and their distance in Å.
Space group Fm-3m (No. 225)
Unique sites:
U (0.2500, 0.2500, 0.2500) x8  4 Mn 2.23
Mn (0.0000, 0.1674, 0.1674) x48  2 Co 2.41, 5 Mn 2.65-2.69
Mn (0.1365, 0.1365, 0.3635) x32  1 U 2.23, 3 Co 2.32
Co (0.0000, 0.0000, 0.2973) x24  8 Mn 2.32-2.41

Output
**Volume**: 1466 Å³/cell
**Formation energy from the elements**: 0.36 eV per atom

---

The following is a DFT calculation (PBE) of Er6CoTe2 after structural relaxation.

Unit cell a=8.2835 b=8.2835 c=3.8913 alpha=90.00 beta=90.00 gamma=120.00
Last column: nearest neighbours and their distance in Å.
Space group P-62m (No. 189)
Unique sites:
Er (0.0000, 0.3963, 0.0000) x3  4 Te 3.20, 1 Co 3.28, 4 Er 3.46
Er (0.0000, 0.7645, 0.5000) x3  2 Co 2.76
Co (0.0000, 0.0000, 0.0000) x1  6 Er 2.76
Te (0.3333, 0.6667, 0.5000) x2  9 Er 3.20-3.24

Output
**Volume**: 231 Å³/cell

---

Number 1: total energy -5.626 eV/atom. Number 2: total energy -4.357 eV/atom. Number 3: total energy -3.842 eV/atom. Number 4: total energy -4.929 eV/atom. Number 5: total energy -5.257 eV/atom. Number 6: total energy -7.586 eV/atom. Number 7: total energy -4.556 eV/atom. Number 8: total energy -3.485 eV/atom. Number 9: total energy -5.464 eV/atom. Number 10: total energy -4.309 eV/atom. Number 11: total energy -6.894 eV/atom. Number 12: total energy -3.237 eV/atom. Number 13: total energy -8.518 eV/atom. Number 14: total energy -5.190 eV/atom.